In2OsAu: optimized geometry, PBE.

Structure (extended XYZ):
```
4
Lattice="3.035 -3.749 0.000 3.035 3.749 0.000 0.000 0.000 3.239" Properties=species:S:1:pos:R:3 pbc="T T T"
In 1.517 1.874 0.000
In 1.517 -1.874 0.000
Os 0.000 0.000 1.620
Au 3.035 0.000 1.620
```

Output
Calculated formation energy: 26 kJ/mol of atoms
Calculated density: 13.898 g/cm³
Size of the total moment: 0.00 Bohr magnetons per cell